Entry 1:
The following is a DFT calculation (PBE) of a relaxed Ba8Tl2Cd crystal.

Geometry as POSCAR:
```
Ba8Tl2Cd
1.0
10.746 -3.050 0.000
10.746 3.050 0.000
-2.655 0.000 8.022
Ba Tl Cd
8 2 1
Direct
0.031 0.031 0.289
0.202 0.202 0.805
0.334 0.334 0.538
0.402 0.402 0.055
0.598 0.598 0.945
0.666 0.666 0.462
0.798 0.798 0.195
0.969 0.969 0.711
0.185 0.185 0.204
0.815 0.815 0.796
0.500 0.500 0.500
```

Values from the calculation:
calculated density = 5.11 g/cm3
energy of formation = -0.22 eV per atom



Entry 2:
The following is a DFT calculation (PBE) of a relaxed Ba2Tl4Cd3 crystal.

Geometry as POSCAR:
```
Ba2Tl4Cd3
1.0
0.000 5.462 8.467
3.055 0.000 8.467
3.055 5.462 0.000
Ba Tl Cd
2 4 3
Direct
0.128 0.128 0.872
0.872 0.872 0.128
0.163 0.495 0.505
0.495 0.163 0.837
0.505 0.837 0.163
0.837 0.505 0.495
0.000 0.000 0.500
0.500 0.500 0.000
0.500 0.500 0.500
```

Values from the calculation:
calculated density = 8.40 g/cm3
energy of formation = -0.25 eV per atom
relative energy among the computed polymorphs = 0 meV/atom



Entry 3:
The following is a DFT calculation (PBE) of a relaxed Ba2Tl3Cd6 crystal.

Geometry as POSCAR:
```
Ba2Tl3Cd6
1.0
6.041 -6.087 0.000
6.041 6.087 0.000
0.000 0.000 4.885
Ba Tl Cd
2 3 6
Direct
0.223 0.777 0.000
0.777 0.223 0.000
0.280 0.280 0.000
0.500 0.500 0.500
0.720 0.720 0.000
0.114 0.114 0.500
0.153 0.458 0.500
0.458 0.153 0.500
0.542 0.847 0.500
0.847 0.542 0.500
0.886 0.886 0.500
```

Values from the calculation:
calculated density = 7.22 g/cm3
energy of formation = -0.13 eV per atom
relative energy among the computed polymorphs = 79 meV/atom



Entry 4:
The following is a DFT calculation (PBE) of a relaxed Ba4Tl12Cd crystal.

Geometry as POSCAR:
```
Ba4Tl12Cd
1.0
-5.224 5.224 5.224
5.224 -5.224 5.224
5.224 5.224 -5.224
Ba Tl Cd
4 12 1
Direct
0.000 0.000 0.500
0.000 0.500 0.000
0.500 0.000 0.000
0.500 0.500 0.500
0.000 0.301 0.301
0.000 0.699 0.699
0.250 0.500 0.750
0.250 0.750 0.500
0.301 0.000 0.301
0.301 0.301 0.000
0.500 0.250 0.750
0.500 0.750 0.250
0.699 0.000 0.699
0.699 0.699 0.000
0.750 0.250 0.500
0.750 0.500 0.250
0.000 0.000 0.000
```

Values from the calculation:
calculated density = 9.07 g/cm3
energy of formation = -0.25 eV per atom



Which of these has the highest energy of formation?
Ba2Tl3Cd6



Which of these has the lowest calculated density?
Ba8Tl2Cd